# PBE BeOsW2I, relaxed
# DOS(E_F) in states/eV/atom: 1.092
# Electronic total energy in eV for the cell shown: -34.49
# Total magnetization in Bohr magnetons per cell: 0.00
# Formation energy (no corrections) in eV per atom: 1.584
data_BeOsW2I
_symmetry_space_group_name_H-M 'P 4/m m m'
_symmetry_Int_Tables_number 123
_symmetry_space_group_name_Hall '-P 4 2'
_cell_length_a 4.883
_cell_length_b 4.883
_cell_length_c 4.226
_cell_angle_alpha 90.00
_cell_angle_beta 90.00
_cell_angle_gamma 90.00
loop_
_atom_site_label
_atom_site_type_symbol
_atom_site_fract_x
_atom_site_fract_y
_atom_site_fract_z
Be1 Be 0.000 0.000 0.000
Os1 Os 0.000 0.000 0.500
W1 W 0.000 0.500 0.500
I1 I 0.500 0.500 0.000